# 1
{"formula": "Y2FeTe", "functional": "PBE", "state": "relaxed", "vol_a3_per_atom": 24.06, "polymorph_energy_ev_per_atom": 0.074, "magnetic_moment_mub_per_cell": 1.37, "e_form_raw_kj_per_mol_fu": -172, "cell": [[3.714, 0.000, 0.000], [0.000, 3.714, 0.000], [0.000, 0.000, 6.977]], "species": ["Y", "Y", "Fe", "Te"], "fractional_positions": [[0.000, 0.000, 0.230], [0.000, 0.000, 0.770], [0.500, 0.500, 0.000], [0.500, 0.500, 0.500]]}



# 2
{"formula": "NpPdRu", "functional": "PBE", "state": "relaxed", "vol_a3_per_atom": 16.80, "polymorph_energy_ev_per_atom": 0.074, "formation_energy_ev_per_atom": 0.218, "magnetic_moment_mub_per_cell": 0.00, "cell": [[4.711, 0.000, 0.000], [-2.356, 4.080, 0.000], [0.000, 0.000, 2.622]], "species": ["Np", "Pd", "Ru"], "fractional_positions": [[0.000, 0.000, 0.000], [0.333, 0.667, 0.533], [0.667, 0.333, 0.588]]}



# 3
{"formula": "ScMn5Si3", "functional": "PBE", "state": "relaxed", "vol_a3_per_atom": 13.77, "magnetic_moment_mub_per_cell": 13.37, "e_form_raw_kj_per_mol_fu": -261, "cell": [[1.929, -6.064, 0.000], [1.929, 6.064, 0.000], [0.000, 0.000, 10.591]], "species": ["Sc", "Sc", "Mn", "Mn", "Mn", "Mn", "Mn", "Mn", "Mn", "Mn", "Mn", "Mn", "Si", "Si", "Si", "Si", "Si", "Si"], "fractional_positions": [[0.186, 0.814, 0.750], [0.814, 0.186, 0.250], [0.000, 0.000, 0.000], [0.000, 0.000, 0.500], [0.193, 0.807, 0.047], [0.193, 0.807, 0.453], [0.438, 0.562, 0.645], [0.438, 0.562, 0.855], [0.562, 0.438, 0.145], [0.562, 0.438, 0.355], [0.807, 0.193, 0.547], [0.807, 0.193, 0.953], [0.123, 0.877, 0.250], [0.381, 0.619, 0.070], [0.381, 0.619, 0.430], [0.619, 0.381, 0.570], [0.619, 0.381, 0.930], [0.877, 0.123, 0.750]]}



# 4
{"formula": "LiTbAsS4", "functional": "PBE", "state": "relaxed", "vol_a3_per_atom": 22.61, "magnetic_moment_mub_per_cell": 0.00, "e_form_raw_kj_per_mol_fu": -617, "cell": [[-3.819, 3.904, 5.308], [3.819, -3.904, 5.308], [3.819, 3.904, -5.308]], "species": ["Li", "Li", "Tb", "Tb", "As", "As", "S", "S", "S", "S", "S", "S", "S", "S"], "fractional_positions": [[0.500, 0.000, 0.000], [0.500, 0.500, 0.500], [0.000, 0.000, 0.000], [0.500, 0.000, 0.500], [0.119, 0.369, 0.750], [0.881, 0.631, 0.250], [0.240, 0.742, 0.498], [0.256, 0.258, 0.998], [0.258, 0.257, 0.499], [0.258, 0.760, 0.001], [0.742, 0.240, 0.999], [0.742, 0.743, 0.501], [0.744, 0.742, 0.002], [0.760, 0.258, 0.502]]}